La2MgZr: relaxed, PBE.

The value obtained for the energy of formation from the pure elements is 0.178 eV per atom. For the total energy, the calculation gives -38.569 eV per cell.

The structure belongs to space group Cmm2 (No. 35); the cell edges are 3.5556, 5.5342 and 11.7873 Å and the angles 90.00°, 90.00° and 90.00°. The inequivalent atoms are La at (0.0000, 0.0000, 0.0000), La at (0.0000, 0.5000, 0.2887), Mg at (0.0000, 0.5000, 0.7442) and Zr at (0.0000, 0.0000, 0.5235).